1 | Here is a geometry-optimized Be2CrGe2 structure from Alexandria. Energies are from PBE.

The calculation puts the volume at 13.40 A^3/atom. The size of the total moment is 0.18 μB/cell.

The structure belongs to space group I4/mmm (No. 139); the cell edges are 3.581, 3.581 and 10.454 Å and the angles 90.00°, 90.00° and 90.00°. The inequivalent atoms are Be at (0.000, 0.000, 0.093), Cr at (0.000, 0.000, 0.500) and Ge at (0.000, 0.500, 0.250).

---

2 | Here is a geometry-optimized Be2CrGe2 structure from Alexandria. Energies are from PBE.

The calculation puts the volume at 12.56 A^3/atom. The size of the total moment is 3.91 μB/cell.

The structure belongs to space group P4/mbm (No. 127); the cell edges are 6.218, 6.218 and 3.249 Å and the angles 90.00°, 90.00° and 90.00°. The inequivalent atoms are Be at (0.123, 0.377, 0.000), Cr at (0.000, 0.000, 0.000) and Ge at (0.174, 0.674, 0.500).

---

Which of them is the least stable? Correct choice: 1.

---

1 | Here is a geometry-optimized Be2CrGe2 structure from Alexandria. Energies are from PBE.

The calculation puts the volume at 17.35 A^3/atom. The size of the total moment is 0.60 μB/cell.

The structure belongs to space group P4/mmm (No. 123); the cell edges are 3.978, 3.978 and 5.483 Å and the angles 90.00°, 90.00° and 90.00°. The inequivalent atoms are Be at (0.000, 0.500, 0.000), Cr at (0.000, 0.000, 0.500), Ge at (0.500, 0.500, 0.000) and Ge at (0.500, 0.500, 0.500).

---

2 | Here is a geometry-optimized Be2CrGe2 structure from Alexandria. Energies are from PBE.

The calculation puts the volume at 13.54 A^3/atom. The size of the total moment is 5.28 μB/cell.

The structure belongs to space group I4/mmm (No. 139); the cell edges are 3.324, 3.324 and 12.256 Å and the angles 90.00°, 90.00° and 90.00°. The inequivalent atoms are Be at (0.000, 0.500, 0.250), Cr at (0.000, 0.000, 0.000) and Ge at (0.000, 0.000, 0.387).

---

3 | Here is a geometry-optimized Be2CrGe2 structure from Alexandria. Energies are from PBE.

The calculation puts the volume at 13.06 A^3/atom. The size of the total moment is 2.34 μB/cell.

The structure belongs to space group P4/mbm (No. 127); the cell edges are 6.356, 6.356 and 3.233 Å and the angles 90.00°, 90.00° and 90.00°. The inequivalent atoms are Be at (0.147, 0.353, 0.000), Cr at (0.000, 0.000, 0.500) and Ge at (0.149, 0.649, 0.500).

---

Which of them is the least stable? Correct choice: 1.

---

1 | Here is a geometry-optimized BeCr2Ge structure from Alexandria. Energies are from PBE.

The calculation puts the volume at 12.59 A^3/atom. The size of the total moment is 0.00 μB/cell.

The structure belongs to space group I-42d (No. 122); the cell edges are 3.408, 3.408 and 17.343 Å and the angles 90.00°, 90.00° and 90.00°. The inequivalent atoms are Be at (0.000, 0.000, 0.000), Cr at (0.219, 0.250, 0.125) and Ge at (0.000, 0.000, 0.500).

---

2 | Here is a geometry-optimized BeCr2Ge structure from Alexandria. Energies are from PBE.

The calculation puts the volume at 11.52 A^3/atom. The size of the total moment is 0.00 μB/cell.

The structure belongs to space group Fm-3m (No. 225); the cell edges are 5.691, 5.691 and 5.691 Å and the angles 90.00°, 90.00° and 90.00°. The inequivalent atoms are Be at (0.000, 0.000, 0.000), Cr at (0.250, 0.250, 0.250) and Ge at (0.000, 0.000, 0.500).

---

Which of them is the least stable? Correct choice: 1.

---

1 | Here is a geometry-optimized BeCr2Ge2 structure from Alexandria. Energies are from PBE.

The calculation puts the volume at 14.24 A^3/atom. The size of the total moment is 0.00 μB/cell.

The structure belongs to space group I4/mmm (No. 139); the cell edges are 3.468, 3.468 and 11.841 Å and the angles 90.00°, 90.00° and 90.00°. The inequivalent atoms are Be at (0.000, 0.000, 0.000), Cr at (0.000, 0.500, 0.250) and Ge at (0.000, 0.000, 0.400).

---

2 | Here is a geometry-optimized BeCr2Ge2 structure from Alexandria. Energies are from PBE.

The calculation puts the volume at 12.95 A^3/atom. The size of the total moment is 0.00 μB/cell.

The structure belongs to space group P4/mbm (No. 127); the cell edges are 6.080, 6.080 and 3.502 Å and the angles 90.00°, 90.00° and 90.00°. The inequivalent atoms are Be at (0.000, 0.000, 0.000), Cr at (0.154, 0.346, 0.000) and Ge at (0.154, 0.654, 0.500).

---

3 | Here is a geometry-optimized BeCr2Ge2 structure from Alexandria. Energies are from PBE.

The calculation puts the volume at 12.81 A^3/atom. The size of the total moment is 0.00 μB/cell.

The structure belongs to space group P4/mbm (No. 127); the cell edges are 6.212, 6.212 and 3.321 Å and the angles 90.00°, 90.00° and 90.00°. The inequivalent atoms are Be at (0.000, 0.000, 0.000), Cr at (0.163, 0.337, 0.500) and Ge at (0.142, 0.642, 0.000).

---

Which of them is the least stable? Correct choice: 1.